Below is a relaxed RbCoP2O8 crystal, with properties calculated at the PBE with a Hubbard U level.

```
RbCoP2O8
1.0
4.756 0.000 0.000
-2.378 4.118 0.000
0.000 0.000 8.748
Rb Co P O
1 1 2 8
direct
0.000 0.000 0.000
0.000 0.000 0.500
0.333 0.667 0.683
0.667 0.333 0.317
0.042 0.338 0.626
0.296 0.958 0.626
0.333 0.667 0.857
0.338 0.296 0.374
0.662 0.704 0.626
0.667 0.333 0.143
0.704 0.042 0.374
0.958 0.662 0.374
```

- DFT total energy (eV/atom) = -6.353
- ρ (g cm⁻³) = 3.2
- spin magnetization (Bohr magnetons per cell) = 2.07
- Fermi-level density of states (states/eV/cell) = 6.9